(1)
Compound: MnIr2Se
Source: the Alexandria database
Functional: GGA-PBE
Structure: optimized geometry

Properties
The raw formation energy is 0.263 eV/atom. The total magnetization is 3.76 μB per formula unit. Its total energy is -58.6 eV/cell.

a = 5.705 Å, b = 7.152 Å, c = 2.951 Å
α = 90.00°, β = 90.00°, γ = 90.00°
Positions (direct):
Mn (0.000, 0.000, 0.000)
Mn (0.500, 0.500, 0.000)
Ir (0.250, 0.250, 0.500)
Ir (0.250, 0.750, 0.500)
Ir (0.750, 0.250, 0.500)
Ir (0.750, 0.750, 0.500)
Se (0.000, 0.500, 0.000)
Se (0.500, 0.000, 0.000)

(2)
Compound: MnIr2Se
Source: the Alexandria database
Functional: GGA-PBE
Structure: optimized geometry

Properties
The raw formation energy is 0.265 eV/atom. The total magnetization is 1.75 μB per formula unit. Its total energy is -88.0 eV/cell.

a = 2.846 Å, b = 2.846 Å, c = 24.962 Å
α = 90.00°, β = 90.00°, γ = 120.00°
Positions (direct):
Mn (0.000, 0.000, 0.000)
Mn (0.333, 0.667, 0.667)
Mn (0.667, 0.333, 0.333)
Ir (0.000, 0.000, 0.503)
Ir (0.000, 0.000, 0.748)
Ir (0.333, 0.667, 0.170)
Ir (0.333, 0.667, 0.415)
Ir (0.667, 0.333, 0.082)
Ir (0.667, 0.333, 0.836)
Se (0.000, 0.000, 0.260)
Se (0.333, 0.667, 0.926)
Se (0.667, 0.333, 0.593)

The lowest raw formation energy belongs to which entry?
number 1